La4CoO8, relaxed, DFT PBE with a Hubbard U; magnetization = 1.0 μB per formula unit; symmetry = Cmmm, No. 65; uncorrected energy = -100.7 eV per cell
1.0
6.916 0.000 0.000
-4.880 4.900 0.000
0.000 0.000 5.346
La Co O
4 1 8
direct
0.865 0.135 0.000
0.135 0.865 0.000
0.634 0.366 0.500
0.366 0.634 0.500
0.000 0.000 0.500
0.162 0.838 0.500
0.688 0.312 0.000
0.838 0.162 0.500
0.752 0.752 0.738
0.312 0.688 0.000
0.752 0.752 0.262
0.248 0.248 0.738
0.248 0.248 0.262